No. 1
Computed, not measured: a relaxed structure of MnMo2Au at the PBE level of DFT.

## Properties
Distance to the lowest polymorph of the same formula   0.72 eV per formula unit
Symmetry   R3m, No. 160
Formation energy from the elements   1.38 eV/f.u.

Cell: 9.1993 9.1993 9.1993 Å, 17.81 17.81 17.81°
Each line ends with the local moment (μB).
Fractional coordinates of all 4 atoms:
Mo (0.2527, 0.2527, 0.2527)  -0.12
Mo (0.0047, 0.0047, 0.0047)  -0.41
Mn (0.7465, 0.7465, 0.7465)  2.91
Au (0.4961, 0.4961, 0.4961)  0.03

=====

No. 2
Computed, not measured: a relaxed structure of ZnSbTe2 at the PBE level of DFT.

## Properties
Formation energy without anion corrections   9 kJ per mole of atoms
Distance to the lowest polymorph of the same formula   0.77 eV per formula unit
Symmetry   R-3m, No. 166

Cell: 9.7848 9.7848 9.7848 Å, 22.17 22.17 22.17°
Fractional coordinates of all 4 atoms:
Zn (0.5000, 0.5000, 0.5000)
Te (0.1063, 0.1063, 0.1063)
Te (0.8937, 0.8937, 0.8937)
Sb (0.0000, 0.0000, 0.0000)

=====

Number 1: D(E_F) 4.19 states/eV/f.u.. Number 2: D(E_F) 2.43 states/eV/f.u..